Crystalline FeAsCl2 at its relaxed geometry. Source: the Alexandria database, functional GGA-PBE.

Output
* volume: 27.14 Å³ per atom
* spin magnetization: 6.00 μB/cell
* VASP energy: -4.387 eV per atom
* symmetry: Imm2
* energy relative to the elements, uncorrected: -186.0 meV per atom
* energy relative to the lowest polymorph listed for this composition: 47 meV/atom

abc: 3.194 5.015 13.556
angles: 90.00 90.00 90.00
Fractional positions:
Fe 0.000 0.000 0.000
Fe 0.500 0.500 0.500
As 0.000 0.500 0.637
As 0.500 0.000 0.137
Cl 0.000 0.000 0.589
Cl 0.000 0.500 0.380
Cl 0.500 0.000 0.880
Cl 0.500 0.500 0.089